Record 1
CePm4S5: relaxed, PBE.

Cell: 5.7063 6.9796 6.9796 Å, 80.38 65.87 65.87°
Closest atoms and distances in Å follow each position.
Positions (direct):
1 S 0.9011 0.3980 0.8019  1 Ce 2.83, 5 Pm 2.84-2.87
2 S 0.5012 0.0000 0.0000  4 Pm 2.84, 2 Ce 2.85
3 Pm 0.5978 0.6035 0.2029  6 S 2.84-2.87
4 Pm 0.2013 0.2029 0.3965  6 S 2.84-2.87
5 S 0.1010 0.6020 0.1981  1 Ce 2.83, 5 Pm 2.84-2.87
6 S 0.2990 0.8019 0.6020  1 Ce 2.83, 5 Pm 2.84-2.87
7 Ce 0.0011 0.0000 0.0000  6 S 2.83-2.85
8 Pm 0.8007 0.7971 0.6035  6 S 2.84-2.87
9 S 0.7030 0.1981 0.3980  1 Ce 2.83, 5 Pm 2.84-2.87
10 Pm 0.4042 0.3965 0.7971  6 S 2.84-2.87

Calculated values
For the total energy, the calculation gives -6.60 eV per atom. Its space group is I4/m. For the formation energy (no corrections), the calculation gives -2.043 eV per atom. The value obtained for the volume is 231.5 Å³/f.u.

Record 2
Ce2Pm2S7: relaxed, PBE.

Cell: 4.0214 8.5245 8.5245 Å, 61.49 76.36 76.36°
Closest atoms and distances in Å follow each position.
Positions (direct):
1 S 0.8118 0.0778 0.2986  3 Ce 2.72-2.87, 1 Pm 2.79
2 Pm 0.5000 0.3338 0.6662  7 S 2.80-2.89
3 S 0.1882 0.7014 0.9222  3 Ce 2.72-2.87, 1 Pm 2.79
4 S 0.6135 0.4962 0.2768  3 Pm 2.89-3.01, 2 Ce 2.89, 1 S 3.20
5 S 0.8592 0.4186 0.8629  2 Pm 2.87, 3 Ce 2.99-3.14
6 S 0.5000 0.0126 0.9874  3 Pm 2.80
7 S 0.3865 0.7232 0.5038  3 Pm 2.89-3.01, 2 Ce 2.89, 1 S 3.20
8 S 0.1408 0.1371 0.5814  2 Pm 2.87, 3 Ce 2.99-3.14
9 Ce 0.7400 0.8418 0.6781  7 S 2.72-2.99
10 Ce 0.2600 0.3219 0.1582  7 S 2.72-2.99
11 Pm 0.0000 0.7896 0.2104  8 S 2.79-3.01

Calculated values
For the total energy, the calculation gives -6.45 eV per atom. Its space group is Imm2. For the formation energy (no corrections), the calculation gives -1.877 eV per atom. The value obtained for the volume is 246.9 Å³/f.u.

Which of these has the highest volume? Ce2Pm2S7

Which of these has the lowest formation energy (no corrections)? CePm4S5

Number 1 is which compound? CePm4S5